Density functional theory data (GGA-PBE) for a geometry-optimized Fe2TcHg structure.

a b c (Å): 3.9880 3.9880 7.3771
angles (deg): 90.00 90.00 90.00
Space group I4/mmm (No. 139)
One atom of each set of equivalent atoms:
1 Fe 0.0000 0.5000 0.2500
2 Tc 0.0000 0.0000 0.0000
3 Hg 0.0000 0.0000 0.5000

---

Density functional theory data (GGA-PBE) for a geometry-optimized Fe2TcHg structure.

a b c (Å): 2.8796 2.8796 7.1363
angles (deg): 90.00 90.00 90.00
Space group P4mm (No. 99)
One atom of each set of equivalent atoms:
1 Fe 0.0000 0.0000 0.0000
2 Fe 0.5000 0.5000 0.2010
3 Tc 0.5000 0.5000 0.7938
4 Hg 0.0000 0.0000 0.4854

---

Density functional theory data (GGA-PBE) for a geometry-optimized FeTcHg structure.

Results
- excess energy over the best structure of this formula in the dataset (eV per atom) = 0.3882

a b c (Å): 5.8875 5.8875 5.8875
angles (deg): 90.00 90.00 90.00
Space group F-43m (No. 216)
One atom of each set of equivalent atoms:
1 Fe 0.0000 0.0000 0.0000
2 Tc 0.2500 0.2500 0.7500
3 Hg 0.2500 0.2500 0.2500

---

Density functional theory data (GGA-PBE) for a geometry-optimized Fe3TcHg structure.

Results
- excess energy over the best structure of this formula in the dataset (eV per atom) = 0.0000

a b c (Å): 4.5195 4.5195 4.5195
angles (deg): 90.00 90.00 90.00
Space group Pm-3m (No. 221)
One atom of each set of equivalent atoms:
1 Fe 0.0000 0.0000 0.5000
2 Tc 0.0000 0.0000 0.0000
3 Hg 0.5000 0.5000 0.5000

---

Density functional theory data (GGA-PBE) for a geometry-optimized Fe2TcHg structure.

a b c (Å): 9.0276 2.8141 4.7489
angles (deg): 90.00 103.71 90.00
Space group Cm (No. 8)
One atom of each set of equivalent atoms:
1 Fe 0.0000 0.0000 0.0000
2 Fe 0.2267 0.5000 0.2374
3 Tc 0.4714 0.0000 0.4300
4 Hg 0.2393 0.0000 0.7458

---

Density functional theory data (GGA-PBE) for a geometry-optimized Fe2TcHg structure.

a b c (Å): 5.6287 7.6410 2.7453
angles (deg): 90.00 90.00 90.00
Space group Cmmm (No. 65)
One atom of each set of equivalent atoms:
1 Fe 0.2500 0.2500 0.0000
2 Tc 0.0000 0.0000 0.5000
3 Hg 0.0000 0.5000 0.5000

---

Density functional theory data (GGA-PBE) for a geometry-optimized Fe2TcHg structure.

a b c (Å): 2.8211 3.6444 5.7285
angles (deg): 90.00 90.00 90.00
Space group Pmmm (No. 47)
One atom of each set of equivalent atoms:
1 Fe 0.0000 0.0000 0.2056
2 Tc 0.5000 0.5000 0.0000
3 Hg 0.5000 0.5000 0.5000

---

Density functional theory data (GGA-PBE) for a geometry-optimized Fe2TcHg structure.

a b c (Å): 6.7535 6.7535 5.4786
angles (deg): 90.00 90.00 90.00
Space group I-42d (No. 122)
One atom of each set of equivalent atoms:
1 Fe 0.1995 0.7500 0.1250
2 Tc 0.0000 0.0000 0.0000
3 Hg 0.0000 0.0000 0.5000

---

Number 1: total magnetic moment 10.6 μB/cell, energy of formation from the pure elements 0.49 eV per atom, final energy -6.4072 eV per atom. Number 2: total magnetic moment 4.8 μB/cell, energy of formation from the pure elements 0.31 eV per atom, final energy -6.5878 eV per atom. Number 3: total magnetic moment 3.4 μB/cell, energy of formation from the pure elements 0.76 eV per atom, final energy -5.6183 eV per atom. Number 4: total magnetic moment 6.5 μB/cell, energy of formation from the pure elements 1.35 eV per atom, final energy -5.8592 eV per atom. Number 5: total magnetic moment 8.8 μB/cell, energy of formation from the pure elements 0.44 eV per atom, final energy -6.4615 eV per atom. Number 6: total magnetic moment 10.8 μB/cell, energy of formation from the pure elements 0.47 eV per atom, final energy -6.4261 eV per atom. Number 7: total magnetic moment 4.0 μB/cell, energy of formation from the pure elements 0.36 eV per atom, final energy -6.5420 eV per atom. Number 8: total magnetic moment 3.9 μB/cell, energy of formation from the pure elements 0.88 eV per atom, final energy -6.0207 eV per atom.